Below is an optimized crystal structure of Nd4V5Si4O22, with properties calculated at the PBE+U level.

Calculated values
Space group ... C2/m, No. 12
Uncorrected energy ... -283.5 eV per cell
Total magnetization ... 9.00 μB/f.u.

Unit cell a=7.335 b=7.335 c=11.144 alpha=99.51 beta=99.51 gamma=45.72
Fractional coordinates of all 35 atoms:
Nd  0.073  0.073  0.250
Nd  0.356  0.356  0.245
Nd  0.644  0.644  0.755
Nd  0.927  0.927  0.750
V  0.000  0.000  0.500
V  0.000  0.500  0.500
V  0.500  0.000  0.500
V  0.500  0.500  0.000
V  0.500  0.500  0.500
Si  0.139  0.139  0.958
Si  0.297  0.297  0.771
Si  0.703  0.703  0.229
Si  0.861  0.861  0.042
O  0.034  0.511  0.689
O  0.143  0.143  0.476
O  0.165  0.693  0.089
O  0.185  0.185  0.101
O  0.219  0.736  0.369
O  0.225  0.225  0.872
O  0.264  0.781  0.631
O  0.307  0.835  0.911
O  0.350  0.350  0.481
O  0.414  0.414  0.835
O  0.489  0.966  0.311
O  0.511  0.034  0.689
O  0.586  0.586  0.165
O  0.650  0.650  0.519
O  0.693  0.165  0.089
O  0.736  0.219  0.369
O  0.775  0.775  0.128
O  0.781  0.264  0.631
O  0.815  0.815  0.899
O  0.835  0.307  0.911
O  0.857  0.857  0.524
O  0.966  0.489  0.311